1.
Rb3PtBr6 | Alexandria | GGA-PBE | relaxed; raw formation energy = -1069 meV/atom; total energy = -2.967 eV per atom; M_tot = 1.000 μB per cell
1.0
8.0682 0.0000 0.0000
0.0000 8.0682 0.0000
4.0341 4.0341 6.0300
Br Rb Pt
6 3 1
direct
0.2312 0.2312 0.5375
0.7688 0.7688 0.4625
0.2183 0.2183 0.0000
0.7817 0.7817 0.0000
0.7817 0.2183 0.0000
0.2183 0.7817 0.0000
0.5000 0.5000 0.0000
0.7500 0.2500 0.5000
0.2500 0.7500 0.5000
0.0000 0.0000 0.0000

=====

2.
Rb3PtBr8 | Alexandria | GGA-PBE | relaxed; raw formation energy = -951 meV/atom; total energy = -2.811 eV per atom; M_tot = 2.358 μB per cell
1.0
-7.3435 -5.0705 -1.7588
3.4367 -7.2862 6.6564
-6.1521 7.7218 3.4255
Rb Pt Br
6 2 16
direct
0.7120 0.6981 0.8491
0.7120 0.1509 0.3019
0.7120 0.1509 0.8491
0.2120 0.3019 0.1509
0.2120 0.8491 0.6981
0.2120 0.8491 0.1509
0.1457 0.3333 0.6667
0.6457 0.6667 0.3333
0.9891 0.1074 0.5537
0.9891 0.4463 0.8926
0.9891 0.4463 0.5537
0.4891 0.8926 0.4463
0.4891 0.5537 0.1074
0.4891 0.5537 0.4463
0.8048 0.4386 0.2193
0.8048 0.7807 0.5614
0.8048 0.7807 0.2193
0.3048 0.5614 0.7807
0.3048 0.2193 0.4386
0.3048 0.2193 0.7807
0.6463 0.3333 0.6667
0.1463 0.6667 0.3333
0.9634 0.0000 0.0000
0.4634 0.0000 0.0000

=====

3.
RbPt2Br8 | Alexandria | GGA-PBE | relaxed; raw formation energy = -269 meV/atom; total energy = -2.672 eV per atom; M_tot = 0.000 μB per cell
1.0
10.0510 0.3721 0.3183
2.4113 6.2834 0.0212
2.4113 0.9950 6.2042
Rb Pt Br
1 2 8
direct
0.0000 0.0000 0.0000
0.3844 0.1450 0.1450
0.6156 0.8550 0.8550
0.7437 0.1316 0.7108
0.2563 0.2892 0.8684
0.5389 0.2588 0.2588
0.4611 0.7412 0.7412
0.7437 0.7108 0.1316
0.2563 0.8684 0.2892
0.1600 0.4059 0.4059
0.8400 0.5941 0.5941

=====

4.
Rb3PtBr6 | Alexandria | GGA-PBE | relaxed; raw formation energy = -1086 meV/atom; total energy = -2.984 eV per atom; M_tot = 2.087 μB per cell
1.0
-0.6722 -9.0256 -2.3759
8.4573 -1.6641 3.6419
-3.8750 -1.9683 8.2867
Rb Pt Br
6 2 12
direct
0.4393 0.9239 0.7642
0.9239 0.7642 0.4393
0.2358 0.5607 0.0761
0.7642 0.4393 0.9239
0.0761 0.2358 0.5607
0.5607 0.0761 0.2358
0.0000 0.0000 0.0000
0.5000 0.5000 0.5000
0.2526 0.9302 0.0924
0.0698 0.9076 0.7474
0.5526 0.7689 0.4531
0.9076 0.7474 0.0698
0.4531 0.5526 0.7689
0.2311 0.5469 0.4474
0.7689 0.4531 0.5526
0.5469 0.4474 0.2311
0.0924 0.2526 0.9302
0.4474 0.2311 0.5469
0.9302 0.0924 0.2526
0.7474 0.0698 0.9076

=====

5.
RbPtBr6 | Alexandria | GGA-PBE | relaxed; raw formation energy = -555 meV/atom; total energy = -2.685 eV per atom; M_tot = 0.000 μB per cell
1.0
6.4260 1.1642 0.7843
1.6436 6.3204 0.7843
3.1070 2.8817 7.7160
Rb Pt Br
1 1 6
direct
0.5000 0.5000 0.5000
0.0000 0.0000 0.0000
0.1106 0.6180 0.2565
0.6180 0.1106 0.2565
0.3820 0.8894 0.7435
0.8894 0.3820 0.7435
0.2100 0.2100 0.0272
0.7900 0.7900 0.9728

=====

6.
Rb2PtBr4 | Alexandria | GGA-PBE | relaxed; raw formation energy = -1069 meV/atom; total energy = -3.164 eV per atom; M_tot = 0.000 μB per cell
1.0
5.4156 0.0000 0.0000
0.0000 5.4156 0.0000
2.7078 2.7078 8.3005
Br Rb Pt
4 2 1
direct
0.8478 0.8478 0.3044
0.1522 0.1522 0.6956
0.0000 0.5000 0.0000
0.5000 0.0000 0.0000
0.6352 0.6352 0.7296
0.3648 0.3648 0.2704
0.0000 0.0000 0.0000

=====

7.
Rb12Pt3Br5 | Alexandria | GGA-PBE | relaxed; raw formation energy = -756 meV/atom; total energy = -2.661 eV per atom; M_tot = 2.174 μB per cell
1.0
17.2635 0.0000 0.0000
-5.7545 16.2762 0.0000
-5.7545 -8.1381 14.0956
Pt Br Rb
12 20 48
direct
0.7500 0.3750 0.1250
0.8750 0.7500 0.1250
0.3750 0.7500 0.6250
0.2500 0.1250 0.3750
0.8750 0.1250 0.2500
0.3750 0.6250 0.2500
0.6250 0.3750 0.7500
0.1250 0.8750 0.7500
0.7500 0.8750 0.6250
0.6250 0.2500 0.3750
0.1250 0.2500 0.8750
0.2500 0.6250 0.8750
0.1250 0.3750 0.2500
0.0000 0.5000 0.0000
0.0000 0.0000 0.0000
0.3750 0.2500 0.1250
0.5000 0.0000 0.5000
0.5000 0.5000 0.0000
0.1250 0.7500 0.3750
0.7500 0.1250 0.8750
0.7500 0.6250 0.3750
0.3750 0.1250 0.7500
0.6250 0.8750 0.2500
0.5000 0.5000 0.5000
0.5000 0.0000 0.0000
0.0000 0.0000 0.5000
0.2500 0.3750 0.6250
0.2500 0.8750 0.1250
0.0000 0.5000 0.5000
0.8750 0.2500 0.6250
0.6250 0.7500 0.8750
0.8750 0.6250 0.7500
0.7294 0.1406 0.0594
0.3300 0.5594 0.4188
0.9406 0.3594 0.2706
0.5594 0.2294 0.1406
0.5888 0.7294 0.6700
0.9406 0.5812 0.1700
0.3300 0.7706 0.4112
0.0812 0.9112 0.1406
0.5812 0.9406 0.6700
0.7294 0.5888 0.1700
0.7706 0.4406 0.3594
0.8300 0.9188 0.0594
0.1406 0.7294 0.5594
0.3594 0.4188 0.0888
0.0888 0.9188 0.3594
0.4112 0.1406 0.5812
0.0888 0.1700 0.2294
0.4406 0.6700 0.0812
0.8300 0.9112 0.2706
0.1406 0.4112 0.0812
0.3594 0.9406 0.7706
0.5812 0.6406 0.4112
0.9188 0.8300 0.5594
0.7706 0.3300 0.9112
0.4188 0.3594 0.5888
0.0812 0.1700 0.4406
0.2294 0.6700 0.0888
0.1700 0.0888 0.7294
0.6406 0.0594 0.2294
0.8594 0.5888 0.9188
0.5594 0.3300 0.9188
0.5888 0.8594 0.4188
0.9112 0.8300 0.7706
0.9112 0.0812 0.6406
0.8594 0.2706 0.4406
0.1700 0.0812 0.9406
0.6406 0.5812 0.9112
0.4188 0.0594 0.3300
0.2706 0.4112 0.8300
0.2294 0.5594 0.6406
0.9188 0.0888 0.8594
0.6700 0.2294 0.5888
0.4406 0.7706 0.8594
0.0594 0.4188 0.8300
0.4112 0.2706 0.3300
0.0594 0.6406 0.7294
0.6700 0.4406 0.5812
0.2706 0.8594 0.9406

=====

8.
Rb2PtBr5 | Alexandria | GGA-PBE | relaxed; raw formation energy = -994 meV/atom; total energy = -3.037 eV per atom; M_tot = 1.017 μB per cell
1.0
-7.2909 0.5913 -2.6184
-2.3217 -5.1938 5.2913
3.9423 5.9861 1.9005
Rb Pt Br
2 1 5
direct
0.2570 0.7570 0.5140
0.7570 0.2569 0.5140
0.9922 0.9922 0.9844
0.7849 0.2367 0.0215
0.2367 0.2366 0.0215
0.7847 0.7847 0.0213
0.2365 0.7847 0.0213
0.7281 0.7282 0.4561

=====

9.
Rb2PtBr7 | Alexandria | GGA-PBE | relaxed; raw formation energy = -815 meV/atom; total energy = -2.784 eV per atom; M_tot = 0.000 μB per cell
1.0
7.7378 0.0000 0.0000
0.0000 7.7378 0.0000
3.8689 3.8689 5.8738
Br Rb Pt
7 2 1
direct
0.5000 0.5000 0.0000
0.2125 0.2125 0.5750
0.7875 0.7875 0.4250
0.2326 0.2326 0.0000
0.7674 0.7674 0.0000
0.7674 0.2326 0.0000
0.2326 0.7674 0.0000
0.7500 0.2500 0.5000
0.2500 0.7500 0.5000
0.0000 0.0000 0.0000

=====

10.
Rb2PtRhBr6 | Alexandria | GGA-PBE | relaxed; raw formation energy = -758 meV/atom; total energy = -3.295 eV per atom; M_tot = 0.005 μB per cell
1.0
7.4343 0.0000 0.0000
0.0000 7.4343 0.0000
3.7171 3.7171 5.2312
Br Rh Rb Pt
6 1 2 1
direct
0.2507 0.2507 0.4986
0.7493 0.7493 0.5014
0.2521 0.2521 0.0000
0.7479 0.7479 0.0000
0.7479 0.2521 0.0000
0.2521 0.7479 0.0000
0.5000 0.5000 0.0000
0.7500 0.2500 0.5000
0.2500 0.7500 0.5000
0.0000 0.0000 0.0000

=====

11.
Rb2PtSBr6 | Alexandria | GGA-PBE | relaxed; raw formation energy = -714 meV/atom; total energy = -2.929 eV per atom; M_tot = 0.000 μB per cell
1.0
7.6760 0.0000 0.0000
0.0000 7.6760 0.0000
3.8380 3.8380 5.2287
S Br Rb Pt
1 6 2 1
direct
0.5000 0.5000 0.0000
0.2500 0.2500 0.5000
0.7500 0.7500 0.5000
0.2357 0.2357 0.0000
0.7643 0.7643 0.0000
0.7643 0.2357 0.0000
0.2357 0.7643 0.0000
0.7500 0.2500 0.5000
0.2500 0.7500 0.5000
0.0000 0.0000 0.0000

=====

12.
RbScPtBr6 | Alexandria | GGA-PBE | relaxed; raw formation energy = -1114 meV/atom; total energy = -3.711 eV per atom; M_tot = 2.000 μB per cell
1.0
6.9451 0.0000 -0.0001
3.4726 6.0146 0.0001
0.0001 -0.0002 7.8006
Rb Sc Pt Br
1 1 1 6
direct
0.0000 0.0000 0.0000
0.3333 0.3333 0.5000
0.6667 0.6667 0.5000
0.0014 0.3691 0.3035
0.3690 0.0014 0.6965
0.6295 0.3691 0.6965
0.0013 0.6296 0.6965
0.3690 0.6295 0.3035
0.6295 0.0014 0.3035

=====

13.
RbPtSe2Br | Alexandria | GGA-PBE | relaxed; raw formation energy = 1373 meV/atom; total energy = -1.757 eV per atom; M_tot = 4.016 μB per cell
1.0
6.2665 0.0000 0.0000
0.0000 6.2665 0.0000
0.0000 0.0000 6.1486
Br Se Rb Pt
1 2 1 1
direct
0.0000 0.0000 0.5000
0.0000 0.5000 0.0000
0.5000 0.0000 0.0000
0.0000 0.0000 0.0000
0.5000 0.5000 0.5000

=====

14.
RbPtSe2Br | Alexandria | GGA-PBE | relaxed; raw formation energy = -355 meV/atom; total energy = -3.485 eV per atom; M_tot = 1.383 μB per cell
1.0
-4.4296 -0.6749 2.2964
-1.5962 -2.7666 -3.8921
1.9860 -4.6236 2.4721
Br Se Rb Pt
1 2 1 1
direct
0.0000 0.0000 0.5000
0.0000 0.5000 0.0000
0.5000 0.0000 0.0000
0.5000 0.5000 0.5000
0.0000 0.0000 0.0000

=====

15.
Rb2TcPtBr6 | Alexandria | GGA-PBE | relaxed; raw formation energy = -706 meV/atom; total energy = -3.544 eV per atom; M_tot = 3.028 μB per cell
1.0
-1.7418 -3.8768 -6.2284
-6.1518 -2.7160 3.4110
-6.8051 0.9006 -3.2217
Rb Br Tc Pt
2 6 1 1
direct
0.7500 0.2500 0.5000
0.2500 0.7500 0.5000
0.2550 0.2550 0.4900
0.7450 0.7450 0.5100
0.2517 0.2517 0.0000
0.7483 0.7483 0.0000
0.7483 0.2517 0.0000
0.2517 0.7483 0.0000
0.5000 0.5000 0.0000
0.0000 0.0000 0.0000

=====

16.
Rb2TiPtBr6 | Alexandria | GGA-PBE | relaxed; raw formation energy = -1026 meV/atom; total energy = -3.617 eV per atom; M_tot = 0.219 μB per cell
1.0
7.3423 0.0000 0.0000
0.0000 7.3423 0.0000
3.6711 3.6711 5.9555
Br Rb Pt Ti
6 2 1 1
direct
0.2837 0.2837 0.4327
0.7163 0.7163 0.5673
0.2493 0.2493 0.0000
0.7507 0.7507 0.0000
0.7507 0.2493 0.0000
0.2493 0.7507 0.0000
0.7500 0.2500 0.5000
0.2500 0.7500 0.5000
0.0000 0.0000 0.0000
0.5000 0.5000 0.0000

=====

17.
Rb2TlPtBr6 | Alexandria | GGA-PBE | relaxed; raw formation energy = -944 meV/atom; total energy = -2.981 eV per atom; M_tot = 0.003 μB per cell
1.0
-3.6047 5.0507 4.8873
-5.6210 1.3591 -5.5504
-6.1708 -8.4493 4.1803
Rb Tl Pt Br
4 2 2 12
direct
0.5000 0.7637 0.2430
0.0000 0.2363 0.7430
0.5000 0.7637 0.7570
0.0000 0.2363 0.2570
0.0000 0.7356 0.5000
0.5000 0.2644 0.0000
0.5000 0.2380 0.5000
0.0000 0.7620 0.0000
0.5000 0.2366 0.2728
0.5000 0.2366 0.7272
0.0000 0.7634 0.2272
0.0000 0.7634 0.7728
0.2687 0.0084 0.5000
0.7313 0.0084 0.5000
0.2674 0.4657 0.5000
0.7326 0.4657 0.5000
0.7674 0.5343 0.0000
0.2326 0.5343 0.0000
0.2313 0.9916 0.0000
0.7687 0.9916 0.0000

=====

18.
RbVPt2Br | Alexandria | GGA-PBE | relaxed; raw formation energy = 2037 meV/atom; total energy = -2.731 eV per atom; M_tot = 3.578 μB per cell
1.0
-4.3574 -0.2848 2.5144
1.8539 -5.5230 2.5871
2.0630 2.4998 3.8582
Br Rb Pt V
1 1 2 1
direct
0.5000 0.5000 0.5000
0.0000 0.0000 0.0000
0.0000 0.0000 0.5000
0.5000 0.0000 0.0000
0.0000 0.5000 0.0000

=====

19.
Rb2VPtBr6 | Alexandria | GGA-PBE | relaxed; raw formation energy = -893 meV/atom; total energy = -3.606 eV per atom; M_tot = 3.000 μB per cell
1.0
7.3293 0.0000 0.0000
0.0000 7.3293 0.0000
3.6646 3.6646 5.9757
Br Rb Pt V
6 2 1 1
direct
0.2880 0.2880 0.4239
0.7120 0.7120 0.5761
0.2433 0.2433 0.0000
0.7567 0.7567 0.0000
0.7567 0.2433 0.0000
0.2433 0.7567 0.0000
0.7500 0.2500 0.5000
0.2500 0.7500 0.5000
0.0000 0.0000 0.0000
0.5000 0.5000 0.0000